The following is a DFT calculation (PBE) of a geometry-optimized La2ErMg3InGa2 structure.

```
data_La2ErMg3InGa2
_symmetry_space_group_name_H-M 'P 1'
_symmetry_Int_Tables_number 1
_cell_length_a 4.660
_cell_length_b 7.485
_cell_length_c 7.485
_cell_angle_alpha 119.16
_cell_angle_beta 90.00
_cell_angle_gamma 90.00
loop_
_symmetry_equiv_pos_as_xyz
'x,y,z'
loop_
_atom_site_label
_atom_site_fract_x
_atom_site_fract_y
_atom_site_fract_z
Er1 0.000 0.567 0.567
Ga1 0.500 0.663 0.341
Ga2 0.500 0.341 0.663
In1 0.000 0.990 0.990
La1 0.000 0.438 0.002
La2 0.000 0.002 0.438
Mg1 0.500 0.250 0.250
Mg2 0.500 0.997 0.752
Mg3 0.500 0.752 0.997
```

**Size of the total moment**: 0.0 μB/f.u.
**Symmetry**: Amm2
**Raw total energy**: -0.2615 Ry/atom

---

The following is a DFT calculation (PBE) of a geometry-optimized ZnCuReB structure.

```
data_ZnCuReB
_symmetry_space_group_name_H-M 'P 1'
_symmetry_Int_Tables_number 1
_cell_length_a 4.044
_cell_length_b 4.044
_cell_length_c 4.044
_cell_angle_alpha 60.00
_cell_angle_beta 60.00
_cell_angle_gamma 60.00
loop_
_symmetry_equiv_pos_as_xyz
'x,y,z'
loop_
_atom_site_label
_atom_site_fract_x
_atom_site_fract_y
_atom_site_fract_z
B1 0.000 0.000 0.000
Cu1 0.750 0.750 0.750
Re1 0.250 0.250 0.250
Zn1 0.500 0.500 0.500
```

**Size of the total moment**: 0.0 μB/f.u.
**Symmetry**: F-43m
**Excess energy over the best structure of this formula in the dataset**: 0 meV per atom

---

The following is a DFT calculation (PBE) of a geometry-optimized Dy2HoCu4Sn2Ge2 structure.

```
data_Dy2HoCu4Sn2Ge2
_symmetry_space_group_name_H-M 'P 1'
_symmetry_Int_Tables_number 1
_cell_length_a 8.263
_cell_length_b 8.263
_cell_length_c 8.263
_cell_angle_alpha 149.50
_cell_angle_beta 132.23
_cell_angle_gamma 57.74
loop_
_symmetry_equiv_pos_as_xyz
'x,y,z'
loop_
_atom_site_label
_atom_site_fract_x
_atom_site_fract_y
_atom_site_fract_z
Cu1 0.652 0.341 0.311
Cu2 0.970 0.659 0.311
Cu3 0.030 0.341 0.689
Cu4 0.348 0.659 0.689
Dy1 0.625 0.125 0.500
Dy2 0.375 0.875 0.500
Ge1 0.691 0.500 0.191
Ge2 0.309 0.500 0.809
Ho1 0.000 0.000 0.000
Sn1 0.218 0.218 0.000
Sn2 0.782 0.782 0.000
```

**Size of the total moment**: 0.0 μB/f.u.
**Symmetry**: Immm
**Excess energy over the best structure of this formula in the dataset**: 0 meV per atom

---

The following is a DFT calculation (PBE) of a geometry-optimized Dy2BrNF structure.

```
data_Dy2BrNF
_symmetry_space_group_name_H-M 'P 1'
_symmetry_Int_Tables_number 1
_cell_length_a 3.544
_cell_length_b 3.544
_cell_length_c 8.447
_cell_angle_alpha 90.00
_cell_angle_beta 90.00
_cell_angle_gamma 120.00
loop_
_symmetry_equiv_pos_as_xyz
'x,y,z'
loop_
_atom_site_label
_atom_site_fract_x
_atom_site_fract_y
_atom_site_fract_z
Br1 0.000 0.000 0.872
Dy1 0.000 0.000 0.326
Dy2 0.333 0.667 0.636
F1 0.333 0.667 0.190
N1 0.667 0.333 0.476
```

**Size of the total moment**: 0.0 μB/f.u.
**Symmetry**: P3m1
**Raw total energy**: -0.4755 Ry/atom

---

The following is a DFT calculation (PBE) of a geometry-optimized BiIr structure.

```
data_BiIr
_symmetry_space_group_name_H-M 'P 1'
_symmetry_Int_Tables_number 1
_cell_length_a 3.977
_cell_length_b 3.977
_cell_length_c 3.977
_cell_angle_alpha 60.00
_cell_angle_beta 60.00
_cell_angle_gamma 60.00
loop_
_symmetry_equiv_pos_as_xyz
'x,y,z'
loop_
_atom_site_label
_atom_site_fract_x
_atom_site_fract_y
_atom_site_fract_z
Bi1 0.000 0.000 0.000
Ir1 0.500 0.500 0.500
```

**Size of the total moment**: 0.0 μB/f.u.
**Symmetry**: Fm-3m
**Raw total energy**: -0.4374 Ry/atom

---

The following is a DFT calculation (PBE) of a geometry-optimized Cu3Ag structure.

```
data_Cu3Ag
_symmetry_space_group_name_H-M 'P 1'
_symmetry_Int_Tables_number 1
_cell_length_a 8.754
_cell_length_b 8.754
_cell_length_c 4.635
_cell_angle_alpha 94.45
_cell_angle_beta 94.45
_cell_angle_gamma 17.62
loop_
_symmetry_equiv_pos_as_xyz
'x,y,z'
loop_
_atom_site_label
_atom_site_fract_x
_atom_site_fract_y
_atom_site_fract_z
Ag1 0.873 0.873 0.127
Ag2 0.127 0.127 0.873
Cu1 0.500 0.500 0.000
Cu2 0.246 0.246 0.266
Cu3 0.623 0.623 0.374
Cu4 0.000 0.000 0.500
Cu5 0.377 0.377 0.626
Cu6 0.754 0.754 0.734
```

**Symmetry**: C2/m
**Raw total energy**: -0.2501 Ry/atom

---

The following is a DFT calculation (PBE) of a geometry-optimized K2PdF6 structure.

```
data_K2PdF6
_symmetry_space_group_name_H-M 'P 1'
_symmetry_Int_Tables_number 1
_cell_length_a 5.601
_cell_length_b 5.601
_cell_length_c 4.388
_cell_angle_alpha 90.00
_cell_angle_beta 90.00
_cell_angle_gamma 120.00
loop_
_symmetry_equiv_pos_as_xyz
'x,y,z'
loop_
_atom_site_label
_atom_site_fract_x
_atom_site_fract_y
_atom_site_fract_z
F1 0.337 0.169 0.237
F2 0.831 0.169 0.237
F3 0.831 0.663 0.237
F4 0.169 0.337 0.763
F5 0.169 0.831 0.763
F6 0.663 0.831 0.763
K1 0.333 0.667 0.277
K2 0.667 0.333 0.723
Pd1 0.000 0.000 0.000
```

**Symmetry**: P-3m1
**Raw total energy**: -0.3026 Ry/atom

---

The following is a DFT calculation (PBE) of a geometry-optimized Ho2Al structure.

```
data_Ho2Al
_symmetry_space_group_name_H-M 'P 1'
_symmetry_Int_Tables_number 1
_cell_length_a 5.028
_cell_length_b 5.028
_cell_length_c 5.028
_cell_angle_alpha 60.00
_cell_angle_beta 60.00
_cell_angle_gamma 60.00
loop_
_symmetry_equiv_pos_as_xyz
'x,y,z'
loop_
_atom_site_label
_atom_site_fract_x
_atom_site_fract_y
_atom_site_fract_z
Al1 0.000 0.000 0.000
Ho1 0.250 0.250 0.250
Ho2 0.750 0.750 0.750
```

**Size of the total moment**: 0.1 μB/f.u.
**Symmetry**: Fm-3m
**Raw total energy**: -0.3174 Ry/atom

---

The following is a DFT calculation (PBE) of a geometry-optimized CsSbAu structure.

```
data_CsSbAu
_symmetry_space_group_name_H-M 'P 1'
_symmetry_Int_Tables_number 1
_cell_length_a 5.388
_cell_length_b 5.388
_cell_length_c 5.388
_cell_angle_alpha 60.00
_cell_angle_beta 60.00
_cell_angle_gamma 60.00
loop_
_symmetry_equiv_pos_as_xyz
'x,y,z'
loop_
_atom_site_label
_atom_site_fract_x
_atom_site_fract_y
_atom_site_fract_z
Au1 0.000 0.000 0.000
Cs1 0.250 0.250 0.250
Sb1 0.750 0.750 0.750
```

**Symmetry**: F-43m
**Excess energy over the best structure of this formula in the dataset**: 0 meV per atom

---

The following is a DFT calculation (PBE) of a geometry-optimized TmScFe2Ge2C structure.

```
data_TmScFe2Ge2C
_symmetry_space_group_name_H-M 'P 1'
_symmetry_Int_Tables_number 1
_cell_length_a 5.573
_cell_length_b 5.573
_cell_length_c 6.598
_cell_angle_alpha 125.16
_cell_angle_beta 125.16
_cell_angle_gamma 40.67
loop_
_symmetry_equiv_pos_as_xyz
'x,y,z'
loop_
_atom_site_label
_atom_site_fract_x
_atom_site_fract_y
_atom_site_fract_z
Sc1 0.444 0.444 0.717
Tm1 0.558 0.558 0.287
C1 0.998 0.998 0.992
Fe1 0.198 0.198 0.092
Fe2 0.801 0.801 0.907
Ge1 0.842 0.842 0.305
Ge2 0.159 0.159 0.700
```

**Size of the total moment**: 0.0 μB/f.u.
**Symmetry**: Cm
**Raw total energy**: -0.5243 Ry/atom

---

The following is a DFT calculation (PBE) of a geometry-optimized Hf9CoW4 structure.

```
data_Hf9CoW4
_symmetry_space_group_name_H-M 'P 1'
_symmetry_Int_Tables_number 1
_cell_length_a 8.683
_cell_length_b 8.683
_cell_length_c 8.452
_cell_angle_alpha 90.00
_cell_angle_beta 90.00
_cell_angle_gamma 120.00
loop_
_symmetry_equiv_pos_as_xyz
'x,y,z'
loop_
_atom_site_label
_atom_site_fract_x
_atom_site_fract_y
_atom_site_fract_z
Co1 0.333 0.667 0.250
Co2 0.667 0.333 0.750
Hf1 0.201 0.402 0.059
Hf2 0.201 0.799 0.059
Hf3 0.598 0.799 0.059
Hf4 0.542 0.084 0.250
Hf5 0.542 0.458 0.250
Hf6 0.916 0.458 0.250
Hf7 0.201 0.799 0.441
Hf8 0.598 0.799 0.441
Hf9 0.201 0.402 0.441
Hf10 0.799 0.598 0.559
Hf11 0.402 0.201 0.559
Hf12 0.799 0.201 0.559
Hf13 0.084 0.542 0.750
Hf14 0.458 0.542 0.750
Hf15 0.458 0.916 0.750
Hf16 0.402 0.201 0.941
Hf17 0.799 0.201 0.941
Hf18 0.799 0.598 0.941
W1 0.000 0.000 0.000
W2 0.224 0.112 0.250
W3 0.888 0.112 0.250
W4 0.888 0.776 0.250
W5 0.000 0.000 0.500
W6 0.112 0.224 0.750
W7 0.112 0.888 0.750
W8 0.776 0.888 0.750
```

**Size of the total moment**: 0.0 μB/f.u.
**Symmetry**: P6_3/mmc
**Raw total energy**: -0.7908 Ry/atom

---

The following is a DFT calculation (PBE) of a geometry-optimized Na4GaGePd2 structure.

```
data_Na4GaGePd2
_symmetry_space_group_name_H-M 'P 1'
_symmetry_Int_Tables_number 1
_cell_length_a 4.732
_cell_length_b 4.732
_cell_length_c 6.674
_cell_angle_alpha 90.00
_cell_angle_beta 90.00
_cell_angle_gamma 90.00
loop_
_symmetry_equiv_pos_as_xyz
'x,y,z'
loop_
_atom_site_label
_atom_site_fract_x
_atom_site_fract_y
_atom_site_fract_z
Ga1 0.000 0.000 0.000
Ge1 0.500 0.500 0.500
Na1 0.500 0.500 0.000
Na2 0.500 0.000 0.251
Na3 0.000 0.000 0.500
Na4 0.000 0.500 0.749
Pd1 0.000 0.500 0.256
Pd2 0.500 0.000 0.744
```

**Symmetry**: P-4m2
**Raw total energy**: -0.2237 Ry/atom

---

| no. | calculated volume (Å³/f.u.) | density (g cm⁻³) |
| --- | --- | --- |
| 1 | 228.0 | 5.624 |
| 2 | 46.8 | 11.575 |
| 3 | 210.5 | 8.889 |
| 4 | 91.9 | 7.915 |
| 5 | 44.5 | 14.982 |
| 6 | 53.6 | 9.247 |
| 7 | 119.2 | 4.160 |
| 8 | 89.9 | 6.591 |
| 9 | 110.6 | 6.780 |
| 10 | 105.4 | 7.608 |
| 11 | 275.9 | 14.447 |
| 12 | 149.4 | 4.970 |